# 1
This record from Alexandria describes an optimized crystal structure of MnIn2O. The functional is PBE with a Hubbard U.

Calculated values
Its space-group type is I-42d (122). For the electronic total energy, the calculation gives -37.51 eV per cell. The value obtained for the density of states at the Fermi level is 1.3 states/eV/f.u. The calculated volume comes out at 20.4 Å³/atom.

Lattice parameters (Å, degrees): 6.945 6.945 5.961 54.37 54.37 90.00
Site moments in Bohr magnetons follow the coordinates.
Positions (direct):
In: 0.875 0.806 0.750  -0.02
In: 0.556 0.125 0.250  -0.03
In: 0.375 0.444 0.750  -0.02
In: 0.194 0.625 0.250  -0.03
O: 0.250 0.750 0.500  0.04
O: 0.500 0.500 0.000  0.04
Mn: 0.000 0.000 0.000  4.53
Mn: 0.750 0.250 0.500  4.54

# 2
This record from Alexandria describes an optimized crystal structure of Mn3In2O8. The functional is PBE with a Hubbard U.

Calculated values
Its space-group type is C2/m (12). For the electronic total energy, the calculation gives -86.83 eV per cell. The value obtained for the density of states at the Fermi level is 2.2 states/eV/f.u. The calculated volume comes out at 12.0 Å³/atom.

Lattice parameters (Å, degrees): 5.041 6.176 6.176 59.20 73.42 73.42
Site moments in Bohr magnetons follow the coordinates.
Positions (direct):
O: 0.397 0.901 0.901  -0.12
O: 0.119 0.892 0.348  -0.04
O: 0.592 0.601 0.601  -0.06
O: 0.119 0.348 0.892  -0.04
O: 0.408 0.399 0.399  -0.06
O: 0.881 0.652 0.108  -0.04
O: 0.603 0.099 0.099  -0.12
O: 0.881 0.108 0.652  -0.04
Mn: 0.500 0.258 0.742  3.62
Mn: 0.000 0.000 0.000  3.93
Mn: 0.500 0.742 0.258  3.62
In: 0.150 0.280 0.280  0.04
In: 0.850 0.720 0.720  0.04

# 3
This record from Alexandria describes an optimized crystal structure of Mn4In3O8. The functional is PBE with a Hubbard U.

Calculated values
Its space-group type is C2/m (12). For the electronic total energy, the calculation gives -98.94 eV per cell. The value obtained for the density of states at the Fermi level is 1.0 states/eV/f.u. The calculated volume comes out at 12.9 Å³/atom.

Lattice parameters (Å, degrees): 6.489 6.561 6.561 88.92 120.99 120.99
Site moments in Bohr magnetons follow the coordinates.
Positions (direct):
In: 0.500 0.500 0.000  -0.01
In: 0.500 0.000 0.500  -0.01
In: 0.500 0.500 0.500  0.03
Mn: 0.000 0.000 0.000  4.60
Mn: 0.000 0.000 0.500  4.65
Mn: 0.000 0.500 0.000  4.65
Mn: 0.500 0.000 0.000  4.64
O: 0.000 0.238 0.762  0.07
O: 0.999 0.764 0.764  0.09
O: 0.500 0.752 0.248  0.06
O: 0.513 0.750 0.750  0.05
O: 0.000 0.762 0.238  0.07
O: 0.500 0.248 0.752  0.06
O: 0.487 0.250 0.250  0.05
O: 0.001 0.236 0.236  0.09

- Among the records above, which one has the lowest electronic total energy?
  Mn4In3O8